# 1
# BaNaBi2, optimized geometry, DFT GGA-PBEsol
data_BaNaBi2
_chemical_formula_sum 'Ba4 Na4 Bi8'
_cell_length_a 8.142
_cell_length_b 8.142
_cell_length_c 8.142
_cell_angle_alpha 90.00
_cell_angle_beta 90.00
_cell_angle_gamma 90.00
_space_group_name_H-M_alt 'F m -3 m'
_space_group_IT_number 225
_space_group_name_Hall '-F 4 2 3'
loop_
_atom_site_label
_atom_site_type_symbol
_atom_site_fract_x
_atom_site_fract_y
_atom_site_fract_z
Ba1 Ba 0.000 0.000 0.000
Na1 Na 0.000 0.000 0.500
Bi1 Bi 0.250 0.250 0.250
# energy = -3.50 eV per atom
# theoretical density = 7.1 Mg/m³
# DFT formation energy = -467 meV per atom
# magnetization = 0.0 μB per cell
# Fermi-level density of states = 9.94 states/eV/cell

# 2
# Rb3LiS, optimized geometry, DFT GGA-PBEsol
data_Rb3LiS
_chemical_formula_sum 'Rb3 Li1 S1'
_cell_length_a 6.402
_cell_length_b 6.402
_cell_length_c 6.402
_cell_angle_alpha 90.00
_cell_angle_beta 90.00
_cell_angle_gamma 90.00
_space_group_name_H-M_alt 'P m -3 m'
_space_group_IT_number 221
_space_group_name_Hall '-P 4 2 3'
loop_
_atom_site_label
_atom_site_type_symbol
_atom_site_fract_x
_atom_site_fract_y
_atom_site_fract_z
Rb1 Rb 0.000 0.000 0.500
Li1 Li 0.500 0.500 0.500
S1 S 0.000 0.000 0.000
# energy = -2.32 eV per atom
# theoretical density = 1.9 Mg/m³
# magnetization = 0.0 μB per cell
# energy relative to the elements, uncorrected = -434 meV/atom
# Fermi-level density of states = 1.33 states/eV/cell

# 3
# MgMnRu2, optimized geometry, DFT GGA-PBEsol
data_MgMnRu2
_chemical_formula_sum 'Mg1 Mn1 Ru2'
_cell_length_a 2.938
_cell_length_b 2.938
_cell_length_c 6.307
_cell_angle_alpha 90.00
_cell_angle_beta 90.00
_cell_angle_gamma 90.00
_space_group_name_H-M_alt 'P 4/m m m'
_space_group_IT_number 123
_space_group_name_Hall '-P 4 2'
loop_
_atom_site_label
_atom_site_type_symbol
_atom_site_fract_x
_atom_site_fract_y
_atom_site_fract_z
Mg1 Mg 0.000 0.000 0.000
Mn1 Mn 0.000 0.000 0.500
Ru1 Ru 0.500 0.500 0.278
# energy = -7.85 eV per atom
# theoretical density = 8.6 Mg/m³
# DFT formation energy = 107 meV per atom
# magnetization = 1.7 μB per cell
# Fermi-level density of states = 3.17 states/eV/cell